(one)
## Li2Sc2Ga (PBE)

Data for a relaxed structure of Li2Sc2Ga.

The value obtained for the volume is 187.92 Å³ per cell. The space group is P4/mbm (127).

Unit cell a=6.5040 b=6.5040 c=4.4424 alpha=90.00 beta=90.00 gamma=90.00
Positions (direct):
Li 0.1287 0.3713 0.0000
Li 0.3713 0.8713 0.0000
Li 0.6287 0.1287 0.0000
Li 0.8713 0.6287 0.0000
Sc 0.1892 0.6892 0.5000
Sc 0.3108 0.1892 0.5000
Sc 0.6892 0.8108 0.5000
Sc 0.8108 0.3108 0.5000
Ga 0.0000 0.0000 0.0000
Ga 0.5000 0.5000 0.0000

=====

(two)
## Li2Sc2Ga (PBE)

Data for a relaxed structure of Li2Sc2Ga.

The value obtained for the volume is 200.21 Å³ per cell. The space group is I4/mmm (139).

Unit cell a=3.3344 b=3.3344 c=18.0076 alpha=90.00 beta=90.00 gamma=90.00
Positions (direct):
Li 0.0000 0.5000 0.2500
Li 0.0000 0.5000 0.7500
Li 0.5000 0.0000 0.2500
Li 0.5000 0.0000 0.7500
Sc 0.0000 0.0000 0.0955
Sc 0.0000 0.0000 0.9045
Sc 0.5000 0.5000 0.4045
Sc 0.5000 0.5000 0.5955
Ga 0.0000 0.0000 0.5000
Ga 0.5000 0.5000 0.0000

=====

Least stable: (two)

=====

(one)
## LiScGaSn (PBE)

Data for a relaxed structure of LiScGaSn.

The value obtained for the volume is 320.88 Å³ per cell. The space group is F-43m (216).

Unit cell a=6.8461 b=6.8461 c=6.8461 alpha=90.00 beta=90.00 gamma=90.00
Positions (direct):
Li 0.0000 0.0000 0.0000
Li 0.0000 0.5000 0.5000
Li 0.5000 0.0000 0.5000
Li 0.5000 0.5000 0.0000
Sc 0.0000 0.0000 0.5000
Sc 0.0000 0.5000 0.0000
Sc 0.5000 0.0000 0.0000
Sc 0.5000 0.5000 0.5000
Ga 0.2500 0.2500 0.7500
Ga 0.2500 0.7500 0.2500
Ga 0.7500 0.2500 0.2500
Ga 0.7500 0.7500 0.7500
Sn 0.2500 0.2500 0.2500
Sn 0.2500 0.7500 0.7500
Sn 0.7500 0.2500 0.7500
Sn 0.7500 0.7500 0.2500

=====

(two)
## LiScGaSn (PBE)

Data for a relaxed structure of LiScGaSn.

The value obtained for the volume is 76.48 Å³ per cell. The space group is Pmmm (47).

Unit cell a=4.1526 b=4.2517 c=4.3318 alpha=90.00 beta=90.00 gamma=90.00
Positions (direct):
Li 0.0000 0.0000 0.0000
Sc 0.0000 0.5000 0.5000
Ga 0.5000 0.0000 0.5000
Sn 0.5000 0.5000 0.0000

=====

Least stable: (one)

=====

(one)
## Li2GaSe (PBE)

Data for a relaxed structure of Li2GaSe.

The value obtained for the volume is 292.47 Å³ per cell. The space group is Fm-3m (225).

Unit cell a=6.6379 b=6.6379 c=6.6379 alpha=90.00 beta=90.00 gamma=90.00
Positions (direct):
Li 0.2500 0.2500 0.2500
Li 0.2500 0.2500 0.7500
Li 0.2500 0.7500 0.2500
Li 0.2500 0.7500 0.7500
Li 0.7500 0.2500 0.2500
Li 0.7500 0.2500 0.7500
Li 0.7500 0.7500 0.2500
Li 0.7500 0.7500 0.7500
Ga 0.0000 0.0000 0.0000
Ga 0.0000 0.5000 0.5000
Ga 0.5000 0.0000 0.5000
Ga 0.5000 0.5000 0.0000
Se 0.0000 0.0000 0.5000
Se 0.0000 0.5000 0.0000
Se 0.5000 0.0000 0.0000
Se 0.5000 0.5000 0.5000

=====

(two)
## Li2GaSe (PBE)

Data for a relaxed structure of Li2GaSe.

The value obtained for the volume is 329.30 Å³ per cell. The space group is I-42d (122).

Unit cell a=4.4419 b=4.4419 c=16.6899 alpha=90.00 beta=90.00 gamma=90.00
Positions (direct):
Li 0.2066 0.2500 0.1250
Li 0.2500 0.7066 0.3750
Li 0.2500 0.7934 0.8750
Li 0.2934 0.2500 0.6250
Li 0.7066 0.7500 0.6250
Li 0.7500 0.2066 0.8750
Li 0.7500 0.2934 0.3750
Li 0.7934 0.7500 0.1250
Ga 0.0000 0.0000 0.5000
Ga 0.0000 0.5000 0.7500
Ga 0.5000 0.0000 0.2500
Ga 0.5000 0.5000 0.0000
Se 0.0000 0.0000 0.0000
Se 0.0000 0.5000 0.2500
Se 0.5000 0.0000 0.7500
Se 0.5000 0.5000 0.5000

=====

Least stable: (two)

=====

(one)
## LiGaSe3 (PBE)

Data for a relaxed structure of LiGaSe3.

The value obtained for the volume is 252.03 Å³ per cell. The space group is P-1 (2).

Unit cell a=4.0770 b=7.5081 c=8.8785 alpha=107.24 beta=103.18 gamma=90.05
Positions (direct):
Li 0.1097 0.3980 0.2260
Li 0.8903 0.6020 0.7740
Ga 0.3812 0.1215 0.7623
Ga 0.6188 0.8785 0.2377
Se 0.1744 0.7669 0.3504
Se 0.3467 0.7823 0.6888
Se 0.4791 0.6883 0.9521
Se 0.5209 0.3117 0.0479
Se 0.6533 0.2177 0.3112
Se 0.8256 0.2331 0.6496

=====

(two)
## LiGaSe3 (PBE)

Data for a relaxed structure of LiGaSe3.

The value obtained for the volume is 128.75 Å³ per cell. The space group is Pm-3m (221).

Unit cell a=5.0495 b=5.0495 c=5.0495 alpha=90.00 beta=90.00 gamma=90.00
Positions (direct):
Li 0.0000 0.0000 0.0000
Ga 0.5000 0.5000 0.5000
Se 0.0000 0.5000 0.5000
Se 0.5000 0.0000 0.5000
Se 0.5000 0.5000 0.0000

=====

Least stable: (two)

=====

(one)
## Li2GaSi2 (PBE)

Data for a relaxed structure of Li2GaSi2.

The value obtained for the volume is 156.40 Å³ per cell. The space group is P4/mbm (127).

Unit cell a=7.5297 b=7.5297 c=2.7586 alpha=90.00 beta=90.00 gamma=90.00
Positions (direct):
Li 0.1884 0.3116 0.0000
Li 0.3116 0.8116 0.0000
Li 0.6884 0.1884 0.0000
Li 0.8116 0.6884 0.0000
Ga 0.0000 0.0000 0.5000
Ga 0.5000 0.5000 0.5000
Si 0.1117 0.6117 0.5000
Si 0.3883 0.1117 0.5000
Si 0.6117 0.8883 0.5000
Si 0.8883 0.3883 0.5000

=====

(two)
## Li2GaSi2 (PBE)

Data for a relaxed structure of Li2GaSi2.

The value obtained for the volume is 166.12 Å³ per cell. The space group is I4/mmm (139).

Unit cell a=3.7804 b=3.7804 c=11.6233 alpha=90.00 beta=90.00 gamma=90.00
Positions (direct):
Li 0.0000 0.5000 0.2500
Li 0.0000 0.5000 0.7500
Li 0.5000 0.0000 0.2500
Li 0.5000 0.0000 0.7500
Ga 0.0000 0.0000 0.0000
Ga 0.5000 0.5000 0.5000
Si 0.0000 0.0000 0.4033
Si 0.0000 0.0000 0.5967
Si 0.5000 0.5000 0.0967
Si 0.5000 0.5000 0.9033

=====

Least stable: (two)

=====

(one)
## LiGa3Si (PBE)

Data for a relaxed structure of LiGa3Si.

The value obtained for the volume is 96.22 Å³ per cell. The space group is Pm-3m (221).

Unit cell a=4.5824 b=4.5824 c=4.5824 alpha=90.00 beta=90.00 gamma=90.00
Positions (direct):
Li 0.0000 0.0000 0.0000
Ga 0.0000 0.0000 0.5000
Ga 0.0000 0.5000 0.0000
Ga 0.5000 0.0000 0.0000
Si 0.5000 0.5000 0.5000

=====

(two)
## LiGa3Si (PBE)

Data for a relaxed structure of LiGa3Si.

The value obtained for the volume is 115.40 Å³ per cell. The space group is Pm-3m (221).

Unit cell a=4.8685 b=4.8685 c=4.8685 alpha=90.00 beta=90.00 gamma=90.00
Positions (direct):
Li 0.0000 0.0000 0.0000
Ga 0.0000 0.5000 0.5000
Ga 0.5000 0.0000 0.5000
Ga 0.5000 0.5000 0.0000
Si 0.5000 0.5000 0.5000

=====

Least stable: (one)

=====

(one)
## LiSmGa (PBE)

Data for a relaxed structure of LiSmGa.

The value obtained for the volume is 133.25 Å³ per cell. The space group is I4mm (107).

Unit cell a=3.4975 b=3.4975 c=10.8929 alpha=90.00 beta=90.00 gamma=90.00
Positions (direct):
Li 0.0000 0.0000 0.0000
Li 0.5000 0.5000 0.5000
Sm 0.0000 0.0000 0.2914
Sm 0.5000 0.5000 0.7914
Ga 0.0000 0.0000 0.6126
Ga 0.5000 0.5000 0.1126

=====

(two)
## LiSmGa (PBE)

Data for a relaxed structure of LiSmGa.

The value obtained for the volume is 288.18 Å³ per cell. The space group is Cmcm (63).

Unit cell a=3.3986 b=17.6946 c=4.7921 alpha=90.00 beta=90.00 gamma=90.00
Positions (direct):
Li 0.0000 0.2179 0.2500
Li 0.0000 0.7821 0.7500
Li 0.5000 0.2821 0.7500
Li 0.5000 0.7179 0.2500
Sm 0.0000 0.0975 0.7500
Sm 0.0000 0.9025 0.2500
Sm 0.5000 0.4025 0.2500
Sm 0.5000 0.5975 0.7500
Ga 0.0000 0.4487 0.7500
Ga 0.0000 0.5513 0.2500
Ga 0.5000 0.0513 0.2500
Ga 0.5000 0.9487 0.7500

=====

(three)
## LiSmGa (PBE)

Data for a relaxed structure of LiSmGa.

The value obtained for the volume is 66.18 Å³ per cell. The space group is P-6m2 (187).

Unit cell a=4.7622 b=4.7622 c=3.3696 alpha=90.00 beta=90.00 gamma=120.00
Positions (direct):
Li 0.0000 0.0000 0.0000
Sm 0.6667 0.3333 0.5000
Ga 0.3333 0.6667 0.0000

=====

Least stable: (one)

=====

(one)
## LiSmGa (PBE)

Data for a relaxed structure of LiSmGa.

The value obtained for the volume is 141.44 Å³ per cell. The space group is Pmma (51).

Unit cell a=4.4740 b=3.6747 c=8.6031 alpha=90.00 beta=90.00 gamma=90.00
Positions (direct):
Li 0.2500 0.0000 0.0894
Li 0.7500 0.0000 0.9106
Sm 0.2500 0.5000 0.7115
Sm 0.7500 0.5000 0.2885
Ga 0.2500 0.0000 0.4118
Ga 0.7500 0.0000 0.5882

=====

(two)
## LiSmGa (PBE)

Data for a relaxed structure of LiSmGa.

The value obtained for the volume is 203.28 Å³ per cell. The space group is P-62m (189).

Unit cell a=7.2344 b=7.2344 c=4.4849 alpha=90.00 beta=90.00 gamma=120.00
Positions (direct):
Li 0.0000 0.2334 0.0000
Li 0.2334 0.0000 0.0000
Li 0.7666 0.7666 0.0000
Sm 0.0000 0.5778 0.5000
Sm 0.4222 0.4222 0.5000
Sm 0.5778 0.0000 0.5000
Ga 0.0000 0.0000 0.5000
Ga 0.3333 0.6667 0.0000
Ga 0.6667 0.3333 0.0000

=====

Least stable: (one)